CeErCI | PBE | optimized geometry

Cell: 3.7500 3.7500 22.9203 Å, 90.00 90.00 120.00°
Space group R3m (No. 160, hexagonal axes)
Symmetry-distinct sites (fractional):
Ce: 0.0000 0.0000 0.0000 (multiplicity 3)
Er: 0.0000 0.0000 0.7814 (multiplicity 3)
C: 0.0000 0.0000 0.3946 (multiplicity 3)
I: 0.0000 0.0000 0.2177 (multiplicity 3)

Results
- Spin magnetization: 3.5 μB/cell
- Final energy: -24.03 eV/f.u.
- ρ: 7.97 g/cm³
- N(E_F): 14.2 states/eV/cell



Ce2ErC2I2 | PBE | optimized geometry

Cell: 4.525 4.525 19.071 Å, 90.00 90.00 90.00°
Space group I4/mmm (No. 139)
Symmetry-distinct sites (fractional):
Ce: 0.000 0.000 0.076 (multiplicity 4)
Er: 0.000 0.000 0.500 (multiplicity 2)
C: 0.000 0.500 0.000 (multiplicity 4)
I: 0.000 0.000 0.334 (multiplicity 4)

Results
- Spin magnetization: 2.3 μB/cell
- Final energy: -41.76 eV/f.u.
- ρ: 6.17 g/cm³
- N(E_F): 14.0 states/eV/cell



Ce2ErInC | PBE | optimized geometry

Cell: 4.962 4.962 4.937 Å, 90.00 90.00 90.00°
Space group P4/mmm (No. 123)
Symmetry-distinct sites (fractional):
Ce: 0.000 0.500 0.000 (multiplicity 2)
Er: 0.000 0.000 0.500 (multiplicity 1)
In: 0.500 0.500 0.500 (multiplicity 1)
C: 0.000 0.000 0.000 (multiplicity 1)

Results
- Spin magnetization: 1.1 μB/cell
- ρ: 7.85 g/cm³
- Energy of formation: -1.8 eV/f.u.
- N(E_F): 8.5 states/eV/cell



CeEr2Mo2C4 | PBE | optimized geometry

Cell: 13.821 3.316 6.014 Å, 90.00 111.92 90.00°
Space group C2/m (No. 12)
Symmetry-distinct sites (fractional):
Ce: 0.000 0.000 0.000 (multiplicity 2)
Er: 0.146 0.000 0.527 (multiplicity 4)
Mo: 0.172 0.500 0.980 (multiplicity 4)
C: 0.019 0.500 0.627 (multiplicity 4)
C: 0.228 0.000 0.231 (multiplicity 4)

Results
- Spin magnetization: 0.0 μB/cell
- ρ: 9.28 g/cm³
- Energy of formation: -1.2 eV/f.u.
- N(E_F): 11.5 states/eV/cell



Ce2ErMo2C4 | PBE | optimized geometry

Cell: 13.833 3.452 6.034 Å, 90.00 106.96 90.00°
Space group C2/m (No. 12)
Symmetry-distinct sites (fractional):
Ce: 0.128 0.000 0.028 (multiplicity 4)
Er: 0.000 0.000 0.500 (multiplicity 2)
Mo: 0.177 0.500 0.509 (multiplicity 4)
C: 0.045 0.500 0.256 (multiplicity 4)
C: 0.226 0.000 0.720 (multiplicity 4)

Results
- Spin magnetization: 0.0 μB/cell
- ρ: 8.28 g/cm³
- Energy of formation: -0.7 eV/f.u.
- N(E_F): 15.7 states/eV/cell



CeEr2PbC | PBE | optimized geometry

Cell: 4.908 4.908 4.948 Å, 90.00 90.00 90.00°
Space group P4/mmm (No. 123)
Symmetry-distinct sites (fractional):
Ce: 0.000 0.000 0.000 (multiplicity 1)
Er: 0.000 0.500 0.500 (multiplicity 2)
Pb: 0.500 0.500 0.000 (multiplicity 1)
C: 0.000 0.000 0.500 (multiplicity 1)

Results
- Spin magnetization: 0.6 μB/cell
- ρ: 9.67 g/cm³
- Energy of formation: -2.3 eV/f.u.
- N(E_F): 6.7 states/eV/cell



Ce2ErPbC | PBE | optimized geometry

Cell: 4.986 4.986 4.931 Å, 90.00 90.00 90.00°
Space group P4/mmm (No. 123)
Symmetry-distinct sites (fractional):
Ce: 0.000 0.500 0.000 (multiplicity 2)
Er: 0.000 0.000 0.500 (multiplicity 1)
Pb: 0.500 0.500 0.500 (multiplicity 1)
C: 0.000 0.000 0.000 (multiplicity 1)

Results
- Spin magnetization: 1.4 μB/cell
- ρ: 9.03 g/cm³
- Energy of formation: -2.1 eV/f.u.
- N(E_F): 9.4 states/eV/cell



CeErCS | PBE | optimized geometry

Cell: 3.7380 3.7380 19.1002 Å, 90.00 90.00 120.00°
Space group R3m (No. 160, hexagonal axes)
Symmetry-distinct sites (fractional):
Ce: 0.0000 0.0000 0.0000 (multiplicity 3)
Er: 0.0000 0.0000 0.5234 (multiplicity 3)
C: 0.0000 0.0000 0.2637 (multiplicity 3)
S: 0.0000 0.0000 0.7669 (multiplicity 3)

Results
- Spin magnetization: 0.8 μB/cell
- Final energy: -28.72 eV/f.u.
- ρ: 7.58 g/cm³
- N(E_F): 8.8 states/eV/cell



CeErCSe | PBE | optimized geometry

Cell: 3.7872 3.7872 19.8568 Å, 90.00 90.00 120.00°
Space group R3m (No. 160, hexagonal axes)
Symmetry-distinct sites (fractional):
Ce: 0.0000 0.0000 0.0000 (multiplicity 3)
Er: 0.0000 0.0000 0.5305 (multiplicity 3)
C: 0.0000 0.0000 0.2667 (multiplicity 3)
Se: 0.0000 0.0000 0.7697 (multiplicity 3)

Results
- Spin magnetization: 1.4 μB/cell
- Final energy: -27.57 eV/f.u.
- ρ: 8.05 g/cm³
- N(E_F): 9.8 states/eV/cell



CeEr2SnC | PBE | optimized geometry

Cell: 4.881 4.881 4.906 Å, 90.00 90.00 90.00°
Space group P4/mmm (No. 123)
Symmetry-distinct sites (fractional):
Ce: 0.000 0.000 0.000 (multiplicity 1)
Er: 0.000 0.500 0.500 (multiplicity 2)
Sn: 0.500 0.500 0.000 (multiplicity 1)
C: 0.000 0.000 0.500 (multiplicity 1)

Results
- Spin magnetization: 0.5 μB/cell
- ρ: 8.60 g/cm³
- Energy of formation: -2.8 eV/f.u.
- N(E_F): 6.2 states/eV/cell



Ce2ErTc2C4 | PBE | optimized geometry

Cell: 13.658 3.400 6.035 Å, 90.00 106.77 90.00°
Space group C2/m (No. 12)
Symmetry-distinct sites (fractional):
Ce: 0.130 0.000 0.031 (multiplicity 4)
Er: 0.000 0.000 0.500 (multiplicity 2)
Tc: 0.180 0.500 0.508 (multiplicity 4)
C: 0.049 0.500 0.253 (multiplicity 4)
C: 0.226 0.000 0.721 (multiplicity 4)

Results
- Spin magnetization: 0.0 μB/cell
- ρ: 8.56 g/cm³
- Energy of formation: -0.9 eV/f.u.
- N(E_F): 11.4 states/eV/cell



CeErTeC | PBE | optimized geometry

Cell: 3.8526 3.8526 21.2183 Å, 90.00 90.00 120.00°
Space group R3m (No. 160, hexagonal axes)
Symmetry-distinct sites (fractional):
Ce: 0.0000 0.0000 0.0000 (multiplicity 3)
Er: 0.0000 0.0000 0.4583 (multiplicity 3)
Te: 0.0000 0.0000 0.2259 (multiplicity 3)
C: 0.0000 0.0000 0.7285 (multiplicity 3)

Results
- Spin magnetization: 2.0 μB/cell
- Final energy: -26.08 eV/f.u.
- ρ: 8.16 g/cm³
- N(E_F): 9.7 states/eV/cell



- ρ of number 11 (Ce2ErTc2C4)?
  8.56 g/cm³